(1)
Below is a relaxed structure of CsTe2PdN, with properties calculated at the PBE-GGA level.

a b c (Å): 6.461 6.461 4.153
angles (deg): 90.00 90.00 90.00
Space group P4/mmm (No. 123)
Asymmetric unit:
1 Cs 0.000 0.000 0.000 (multiplicity 1)
2 Te 0.000 0.500 0.000 (multiplicity 2)
3 Pd 0.500 0.500 0.500 (multiplicity 1)
4 N 0.000 0.000 0.500 (multiplicity 1)

Output
formation energy from raw total energies	1.9798	eV/atom
total DFT energy (no corrections)	-2.151	eV/atom
polymorph energy (0 for the lowest one)	8.21	eV/f.u.

(2)
Below is a relaxed structure of CaCdSi, with properties calculated at the PBE-GGA level.

a b c (Å): 3.515 3.515 11.324
angles (deg): 90.00 90.00 90.00
Space group I4mm (No. 107)
Asymmetric unit:
1 Ca 0.000 0.000 0.000 (multiplicity 2)
2 Cd 0.000 0.000 0.306 (multiplicity 2)
3 Si 0.000 0.000 0.673 (multiplicity 2)

Output
formation energy from raw total energies	-0.0510	eV/atom
total DFT energy (no corrections)	-2.831	eV/atom

(3)
Below is a relaxed structure of YPaN2, with properties calculated at the PBE-GGA level.

a b c (Å): 3.4609 3.4609 17.8216
angles (deg): 90.00 90.00 120.00
Space group R3m (No. 160, hexagonal axes)
Asymmetric unit:
1 Y 0.0000 0.0000 0.0000 (multiplicity 3)
2 Pa 0.0000 0.0000 0.8218 (multiplicity 3)
3 N 0.0000 0.0000 0.2336 (multiplicity 3)
4 N 0.0000 0.0000 0.4127 (multiplicity 3)

Output
formation energy from raw total energies	-1.4268	eV/atom
total DFT energy (no corrections)	-9.579	eV/atom

(4)
Below is a relaxed structure of CeErPuTh, with properties calculated at the PBE-GGA level.

a b c (Å): 7.837 7.837 7.837
angles (deg): 90.00 90.00 90.00
Space group F-43m (No. 216)
Asymmetric unit:
1 Ce 0.000 0.000 0.000 (multiplicity 4)
2 Er 0.250 0.250 0.250 (multiplicity 4)
3 Pu 0.000 0.000 0.500 (multiplicity 4)
4 Th 0.250 0.250 0.750 (multiplicity 4)

Output
total DFT energy (no corrections)	-7.813	eV/atom
ΔE_f	0.249	eV per atom

(5)
Below is a relaxed structure of Ho4Ag2Sn, with properties calculated at the PBE-GGA level.

a b c (Å): 5.1385 5.1385 24.4636
angles (deg): 90.00 90.00 120.00
Space group R-3m (No. 166, hexagonal axes)
Asymmetric unit:
1 Ho 0.0000 0.0000 0.1149 (multiplicity 6)
2 Ho 0.0000 0.0000 0.3692 (multiplicity 6)
3 Ag 0.0000 0.0000 0.2461 (multiplicity 6)
4 Sn 0.0000 0.0000 0.5000 (multiplicity 3)

Output
total DFT energy (no corrections)	-4.263	eV/atom
ΔE_f	-0.261	eV per atom

(6)
Below is a relaxed structure of NaLiSb2Te, with properties calculated at the PBE-GGA level.

a b c (Å): 5.053 5.053 5.468
angles (deg): 90.00 90.00 90.00
Space group P4/mmm (No. 123)
Asymmetric unit:
1 Na 0.000 0.000 0.000 (multiplicity 1)
2 Li 0.500 0.500 0.500 (multiplicity 1)
3 Sb 0.000 0.500 0.500 (multiplicity 2)
4 Te 0.500 0.500 0.000 (multiplicity 1)

Output
formation energy from raw total energies	-0.0144	eV/atom
total DFT energy (no corrections)	-2.938	eV/atom
polymorph energy (0 for the lowest one)	0.00	eV/f.u.

Number 1: total moment 0.57 μB per formula unit. Number 2: total moment 0.00 μB per formula unit. Number 3: total moment 0.00 μB per formula unit. Number 4: total moment 9.15 μB per formula unit. Number 5: total moment 0.00 μB per formula unit. Number 6: total moment 0.00 μB per formula unit.